Compound: Y2BeHgC
Source: Alexandria via LeMat-Bulk
Functional: PBE
Structure: optimized geometry

Computed properties:
Its space group is No. 123. The calculation puts the formation enthalpy at 0 K at -0.311 eV/atom. The total energy comes out at -27.74 eV for the cell shown.

Cell: 5.1378 5.1378 3.5513 Å, 90.00 90.00 90.00°
Closest atoms and distances in Å follow each position.
Fractional coordinates of all 5 atoms:
Y1 0.0000 0.5000 0.0000  2 C 2.57
Y2 0.5000 0.0000 0.0000  2 C 2.57
Be1 0.0000 0.0000 0.5000  2 C 1.78
Hg1 0.5000 0.5000 0.5000  8 Y 3.12
C1 0.0000 0.0000 0.0000  2 Be 1.78